Computed, not measured: a geometry-optimized CoAsIO2 structure at the GGA+U level of DFT.

a b c (Å): 3.858 3.858 6.520
angles (deg): 90.00 90.00 90.00
Site moments in Bohr magnetons follow the coordinates.
Element x y z (fractional)
O 0.500 0.000 0.000  0.59
O 0.000 0.500 0.000  0.59
Co 0.000 0.000 0.000  2.65
I 0.000 0.000 0.500  0.01
As 0.500 0.500 0.500  -0.05

D(E_F): 3.94 states/eV/cell
E: -0.2934 Ry per atom
Symmetry: P4/mmm (123)
Energy above the most stable polymorph in this dataset: 35.8 kJ/mol of atoms